Entry 1:
10
Lattice="4.903 0.000 0.000 0.000 4.903 0.000 0.000 0.000 5.218" Properties=species:S:1:pos:R:3 comment="TeF4, relaxed, DFT GGA-PBE" total_energy_ev_per_atom=-4.03 polymorph_energy_mev_per_atom=224 pbc="T T T"
Te 0.000 0.000 0.000
Te 2.452 2.452 2.609
F 0.974 1.221 1.757
F 1.221 3.929 3.461
F 1.230 1.477 4.366
F 1.477 3.673 0.852
F 3.426 1.230 0.852
F 3.673 3.426 4.366
F 3.682 0.974 3.461
F 3.929 3.682 1.757

---

Entry 2:
10
Lattice="2.598 -5.088 0.000 2.598 5.088 0.000 0.000 0.000 6.666" Properties=species:S:1:pos:R:3 comment="TeF4, relaxed, DFT GGA-PBE" total_energy_ev_per_atom=-4.23 polymorph_energy_mev_per_atom=24 pbc="T T T"
Te 2.598 2.986 4.999
Te 2.598 -2.986 1.666
F 1.735 3.262 0.146
F 1.212 0.768 1.133
F 1.212 -0.768 5.532
F 3.460 3.262 3.187
F 1.735 -3.262 6.520
F 3.984 0.768 2.199
F 3.984 -0.768 4.466
F 3.460 -3.262 3.479

---

Entry 3:
2
Lattice="3.196 0.000 0.000 0.000 3.197 0.000 -0.126 0.000 4.489" Properties=species:S:1:pos:R:3 comment="TeF, relaxed, DFT GGA-PBE" total_energy_ev_per_atom=-3.54 polymorph_energy_mev_per_atom=85 pbc="T T T"
Te 0.000 0.000 0.000
F -0.063 0.000 2.244

---

Entry 4:
2
Lattice="0.000 2.755 2.755 2.755 0.000 2.755 2.755 2.755 0.000" Properties=species:S:1:pos:R:3 comment="TeF, relaxed, DFT GGA-PBE" total_energy_ev_per_atom=-2.64 polymorph_energy_mev_per_atom=987 pbc="T T T"
Te 0.000 0.000 0.000
F 2.755 2.755 2.755

---

Entry 5:
2
Lattice="2.143 -2.351 0.000 2.143 2.351 0.000 -0.495 0.000 4.465" Properties=species:S:1:pos:R:3 comment="TeF, relaxed, DFT GGA-PBE" total_energy_ev_per_atom=-3.53 polymorph_energy_mev_per_atom=99 pbc="T T T"
Te 0.000 0.000 0.000
F -0.248 0.000 2.233

---

Entry 6:
4
Lattice="4.297 0.000 0.000 0.000 4.402 0.000 -0.009 0.000 4.737" Properties=species:S:1:pos:R:3 comment="TeF, relaxed, DFT GGA-PBE" total_energy_ev_per_atom=-3.56 polymorph_energy_mev_per_atom=72 pbc="T T T"
Te 1.074 1.100 0.318
Te 3.214 3.301 4.419
F 1.065 1.100 3.013
F 3.223 3.301 1.724

---

Entry 7:
12
Lattice="8.183 0.000 0.000 0.000 6.346 0.000 0.000 0.000 6.285" Properties=species:S:1:pos:R:3 comment="TeF, relaxed, DFT GGA-PBE" total_energy_ev_per_atom=-3.58 polymorph_energy_mev_per_atom=50 pbc="T T T"
Te 0.000 0.401 0.000
Te 1.540 1.326 3.995
Te 2.551 5.020 0.852
Te 4.091 5.946 3.143
Te 5.631 5.020 0.852
Te 6.642 1.326 3.995
F 0.000 6.190 3.047
F 1.617 3.616 1.892
F 2.475 2.730 5.034
F 4.091 0.156 6.190
F 5.708 2.730 5.034
F 6.566 3.616 1.892

---

Entry 8:
2
Lattice="0.000 2.900 2.900 2.900 0.000 2.900 2.900 2.900 0.000" Properties=species:S:1:pos:R:3 comment="TeF, relaxed, DFT GGA-PBE" total_energy_ev_per_atom=-2.64 polymorph_energy_mev_per_atom=991 pbc="T T T"
Te 0.000 0.000 0.000
F 1.450 1.450 1.450